Compound: Tb6YEr
Source: Alexandria via LeMat-Bulk
Functional: PBE
Structure: optimized geometry

```
Tb6YEr
1.0
6.5463 0.0000 0.0000
-0.0467 6.7394 0.0000
-1.5496 -3.3379 5.8596
Tb Y Er
6 1 1
direct
0.2279 0.4035 0.4748
0.2490 0.9499 0.9992
0.2687 0.9248 0.5197
0.7313 0.0752 0.4803
0.7510 0.0501 0.0008
0.7721 0.5965 0.5252
0.5000 0.5000 0.0000
0.0000 0.5000 0.0000
```

Distance to the lowest polymorph of the same formula = 180 meV/atom
Total magnetization = 0.0 μB per cell
Symmetry = P-1 (2)
N(E_F) = 14.0 states/eV/f.u.


Compound: Tb3YEr7
Source: Alexandria via LeMat-Bulk
Functional: PBE
Structure: optimized geometry

```
Tb3YEr7
1.0
6.9217 0.0000 0.0000
0.0000 5.4765 0.0000
-3.3931 0.0000 9.2586
Tb Y Er
3 1 7
direct
0.0000 0.0000 0.0000
0.2194 0.5000 0.5014
0.7806 0.5000 0.4986
0.5000 0.0000 0.0000
0.0815 0.0000 0.6695
0.1797 0.5000 0.8595
0.3533 0.5000 0.2099
0.5000 0.0000 0.5000
0.6467 0.5000 0.7901
0.8203 0.5000 0.1405
0.9185 0.0000 0.3305
```

Distance to the lowest polymorph of the same formula = 0 meV/atom
Total magnetization = 0.0 μB per cell
Symmetry = P2/m (10)
N(E_F) = 18.9 states/eV/f.u.


Compound: Tb2Y9Er
Source: Alexandria via LeMat-Bulk
Functional: PBE
Structure: optimized geometry

```
Tb2Y9Er
1.0
5.0408 0.0000 0.0000
0.0000 5.0408 0.0000
0.0000 0.0000 15.1327
Tb Y Er
2 9 1
direct
0.0000 0.0000 0.1670
0.0000 0.0000 0.8330
0.0000 0.5000 0.0000
0.0000 0.5000 0.3340
0.0000 0.5000 0.6660
0.5000 0.0000 0.0000
0.5000 0.0000 0.3340
0.5000 0.0000 0.6660
0.5000 0.5000 0.1672
0.5000 0.5000 0.5000
0.5000 0.5000 0.8328
0.0000 0.0000 0.5000
```

Total magnetization = 0.0 μB per cell
Symmetry = P4/mmm (123)
N(E_F) = 18.2 states/eV/f.u.
Uncorrected energy = -0.220 Ha/atom


Compound: Tb4Y19Er6
Source: Alexandria via LeMat-Bulk
Functional: PBE
Structure: optimized geometry

```
Tb4Y19Er6
1.0
-6.2359 6.2359 6.2359
6.2359 -6.2359 6.2359
6.2359 6.2359 -6.2359
Tb Y Er
4 19 6
direct
0.0000 0.0000 0.6424
0.0000 0.6424 0.0000
0.3576 0.3576 0.3576
0.6424 0.0000 0.0000
0.0000 0.0000 0.0000
0.0000 0.2622 0.2622
0.0000 0.7378 0.7378
0.0121 0.7956 0.3405
0.2044 0.2165 0.5449
0.2165 0.5449 0.2044
0.2622 0.0000 0.2622
0.2622 0.2622 0.0000
0.3283 0.7835 0.9879
0.3405 0.0121 0.7956
0.4551 0.6717 0.6595
0.5449 0.2044 0.2165
0.6595 0.4551 0.6717
0.6717 0.6595 0.4551
0.7378 0.0000 0.7378
0.7378 0.7378 0.0000
0.7835 0.9879 0.3283
0.7956 0.3405 0.0121
0.9879 0.3283 0.7835
0.1246 0.6246 0.5000
0.3754 0.5000 0.8754
0.5000 0.1246 0.6246
0.5000 0.8754 0.3754
0.6246 0.5000 0.1246
0.8754 0.3754 0.5000
```

Total magnetization = 0.1 μB per cell
Symmetry = I23 (197)
N(E_F) = 45.7 states/eV/f.u.
Uncorrected energy = -0.200 Ha/atom


Compound: TbY12Er7
Source: Alexandria via LeMat-Bulk
Functional: PBE
Structure: optimized geometry

```
TbY12Er7
1.0
9.2803 5.3580 2.2291
-9.2803 5.3580 2.2291
0.0000 -10.7160 2.2291
Tb Y Er
1 12 7
direct
0.0000 0.0000 0.0000
0.0810 0.2918 0.5006
0.2001 0.7452 0.2677
0.2548 0.7323 0.7999
0.2677 0.2001 0.7452
0.2918 0.5006 0.0810
0.4994 0.9190 0.7082
0.5006 0.0810 0.2918
0.7082 0.4994 0.9190
0.7323 0.7999 0.2548
0.7452 0.2677 0.2001
0.7999 0.2548 0.7323
0.9190 0.7082 0.4994
0.0675 0.3688 0.2033
0.2033 0.0675 0.3688
0.3688 0.2033 0.0675
0.5000 0.5000 0.5000
0.6312 0.7967 0.9325
0.7967 0.9325 0.6312
0.9325 0.6312 0.7967
```

Distance to the lowest polymorph of the same formula = 48 meV/atom
Total magnetization = 0.0 μB per cell
Symmetry = R-3 (148)
N(E_F) = 30.6 states/eV/f.u.


Compound: Tb6Y5Er2
Source: Alexandria via LeMat-Bulk
Functional: PBE
Structure: optimized geometry

```
Tb6Y5Er2
1.0
11.5977 0.0000 0.0000
0.0000 20.3020 0.0000
0.0000 0.0000 3.5874
Tb Y Er
12 10 4
direct
0.0619 0.0803 0.0000
0.0834 0.3673 0.0000
0.1701 0.6368 0.5000
0.3299 0.1368 0.5000
0.4166 0.8673 0.0000
0.4381 0.5803 0.0000
0.5619 0.4197 0.0000
0.5834 0.1327 0.0000
0.6701 0.8632 0.5000
0.8299 0.3632 0.5000
0.9166 0.6327 0.0000
0.9381 0.9197 0.0000
0.0000 0.5000 0.5000
0.0913 0.2261 0.5000
0.1972 0.9471 0.5000
0.3028 0.4471 0.5000
0.4087 0.7261 0.5000
0.5000 0.0000 0.5000
0.5913 0.2739 0.5000
0.6972 0.5529 0.5000
0.8028 0.0529 0.5000
0.9087 0.7739 0.5000
0.1662 0.7901 0.0000
0.3338 0.2901 0.0000
0.6662 0.7099 0.0000
0.8338 0.2099 0.0000
```

Total magnetization = 0.0 μB per cell
Symmetry = Pbam (55)
N(E_F) = 15.9 states/eV/f.u.
Uncorrected energy = -0.192 Ha/atom